## CaYBr2 (PBE-GGA)

Data for crystalline CaYBr2 at its relaxed geometry.

Properties
Crystal system   trigonal
Energy relative to the elements, uncorrected   -1.1083 eV per atom

```
data_CaYBr2
_symmetry_space_group_name_H-M 'R -3 m'
_symmetry_Int_Tables_number 166
_symmetry_space_group_name_Hall '-R 3 2"'
_cell_length_a 3.7915
_cell_length_b 3.7915
_cell_length_c 30.5216
_cell_angle_alpha 90.00
_cell_angle_beta 90.00
_cell_angle_gamma 120.00
loop_
_atom_site_label
_atom_site_fract_x
_atom_site_fract_y
_atom_site_fract_z
Ca1 0.0000 0.0000 0.0000
Y1 0.0000 0.0000 0.5000
Br1 0.0000 0.0000 0.1009
```